UCo2PbO8 | Alexandria via LeMat-Bulk | PBE with a Hubbard U | optimized geometry; energy = -0.506 Ry/atom; symmetry = No. 119
1.0
5.8938 0.3302 0.0000
-2.3181 5.4288 0.0000
-1.7879 -2.8795 4.8330
O Co Pb U
8 2 1 1
Direct
0.8814 0.6971 0.1843 O
0.9351 0.6354 0.7003 O
0.3029 0.4872 0.1843 O
0.5128 0.6971 0.8157 O
0.3029 0.1186 0.8157 O
0.9351 0.2348 0.2997 O
0.3646 0.0649 0.2997 O
0.7652 0.0649 0.7003 O
0.5000 0.5000 0.0000 Co
0.7500 0.2500 0.5000 Co
0.2500 0.7500 0.5000 Pb
0.0000 0.0000 0.0000 U